1.
The following is a GGA-PBE calculation of an optimized crystal structure of Ba2ZnGeRh, from Alexandria via LeMat-Bulk.

Geometry as POSCAR:
```
Ba2ZnGeRh
1.0
6.065 0.000 0.000
0.000 6.065 0.000
0.000 0.000 4.754
Ba Zn Ge Rh
2 1 1 1
Direct
0.000 0.500 0.000
0.500 0.000 0.000
0.000 0.000 0.500
0.500 0.500 0.500
0.500 0.500 0.000
```

Values from the calculation:
* total DFT energy (no corrections): -18.4 eV per formula unit
* magnetization: 0.00 μB/cell
* symmetry: P4/mmm, No. 123

---

2.
The following is a GGA-PBE calculation of an optimized crystal structure of BaGe2Ru, from Alexandria via LeMat-Bulk.

Geometry as POSCAR:
```
BaGe2Ru
1.0
5.338 0.000 0.000
0.000 5.338 0.000
0.000 0.000 15.664
Ba Ge Ru
4 8 4
Direct
0.000 0.250 0.375
0.000 0.750 0.625
0.500 0.250 0.125
0.500 0.750 0.875
0.000 0.000 0.000
0.000 0.500 0.000
0.250 0.250 0.750
0.250 0.750 0.250
0.500 0.000 0.500
0.500 0.500 0.500
0.750 0.250 0.750
0.750 0.750 0.250
0.000 0.250 0.875
0.000 0.750 0.125
0.500 0.250 0.625
0.500 0.750 0.375
```

Values from the calculation:
* total DFT energy (no corrections): -21.6 eV per formula unit
* magnetization: 0.00 μB/cell
* symmetry: I4_1/amd, No. 141

---

3.
The following is a GGA-PBE calculation of an optimized crystal structure of BaGe3Ru, from Alexandria via LeMat-Bulk.

Geometry as POSCAR:
```
BaGe3Ru
1.0
5.570 0.000 0.000
0.000 5.570 0.000
0.000 0.000 5.570
Ba Ge Ru
1 3 1
Direct
0.000 0.000 0.000
0.000 0.000 0.500
0.000 0.500 0.000
0.500 0.000 0.000
0.500 0.500 0.500
```

Values from the calculation:
* total DFT energy (no corrections): -14.0 eV per formula unit
* magnetization: 0.00 μB/cell
* symmetry: Pm-3m, No. 221

---

4.
The following is a GGA-PBE calculation of an optimized crystal structure of BaGe2Ru, from Alexandria via LeMat-Bulk.

Geometry as POSCAR:
```
BaGe2Ru
1.0
6.977 0.000 0.000
0.000 6.977 0.000
0.000 0.000 6.977
Ba Ge Ru
4 8 4
Direct
0.000 0.000 0.000
0.000 0.500 0.500
0.500 0.000 0.500
0.500 0.500 0.000
0.250 0.250 0.250
0.250 0.250 0.750
0.250 0.750 0.250
0.250 0.750 0.750
0.750 0.250 0.250
0.750 0.250 0.750
0.750 0.750 0.250
0.750 0.750 0.750
0.000 0.000 0.500
0.000 0.500 0.000
0.500 0.000 0.000
0.500 0.500 0.500
```

Values from the calculation:
* total DFT energy (no corrections): -19.5 eV per formula unit
* magnetization: 0.00 μB/cell
* symmetry: Fm-3m, No. 225

---

5.
The following is a GGA-PBE calculation of an optimized crystal structure of BaGeRu2, from Alexandria via LeMat-Bulk.

Geometry as POSCAR:
```
BaGeRu2
1.0
4.844 0.000 0.000
0.000 4.844 0.000
0.000 0.000 17.058
Ba Ge Ru
4 4 8
Direct
0.000 0.000 0.000
0.000 0.500 0.250
0.500 0.000 0.750
0.500 0.500 0.500
0.000 0.000 0.500
0.000 0.500 0.750
0.500 0.000 0.250
0.500 0.500 0.000
0.026 0.250 0.625
0.250 0.526 0.875
0.250 0.974 0.375
0.474 0.250 0.125
0.526 0.750 0.125
0.750 0.026 0.375
0.750 0.474 0.875
0.974 0.750 0.625
```

Values from the calculation:
* total DFT energy (no corrections): -24.1 eV per formula unit
* magnetization: 0.00 μB/cell
* symmetry: I-42d, No. 122

---

6.
The following is a GGA-PBE calculation of an optimized crystal structure of BaGe4Ru4, from Alexandria via LeMat-Bulk.

Geometry as POSCAR:
```
BaGe4Ru4
1.0
-4.375 4.375 2.220
4.375 -4.375 2.220
4.375 4.375 -2.220
Ba Ge Ru
1 4 4
Direct
0.000 0.000 0.000
0.219 0.339 0.559
0.339 0.781 0.120
0.661 0.219 0.880
0.781 0.661 0.441
0.118 0.600 0.717
0.400 0.118 0.518
0.600 0.882 0.482
0.882 0.400 0.283
```

Values from the calculation:
* total DFT energy (no corrections): -60.3 eV per formula unit
* magnetization: 0.00 μB/cell
* symmetry: I4/m, No. 87